i | Entry from OQMD: a relaxed LuZnSb crystal (GGA-PBE).

Cell: 4.883 4.883 4.883 Å, 60.00 60.00 60.00°
Sites, in units of the cell vectors:
Lu 0.000 0.000 0.000
Zn 0.500 0.500 0.500
Sb 0.250 0.250 0.250

Summary:
Size of the total moment   0.00 μB/atom
SG   F-43m
Density   7303 kg/m³

---

ii | Entry from OQMD: a relaxed LuZnSb crystal (GGA-PBE).

Cell: 4.908 4.908 4.908 Å, 60.00 60.00 60.00°
Sites, in units of the cell vectors:
Lu 0.000 0.000 0.000
Zn 0.250 0.250 0.250
Sb 0.750 0.750 0.750

Summary:
Size of the total moment   0.00 μB/atom
SG   F-43m
Density   7192 kg/m³

---

The structure with the least stability is i.

---

i | Entry from OQMD: a relaxed LuSc crystal (GGA-PBE).

Cell: 4.616 4.616 4.616 Å, 60.00 60.00 60.00°
Sites, in units of the cell vectors:
Lu 0.000 0.000 0.000
Sc 0.750 0.750 0.750

Summary:
Size of the total moment   0.16 μB/atom
SG   F-43m
Density   5252 kg/m³

---

ii | Entry from OQMD: a relaxed LuSc crystal (GGA-PBE).

Cell: 4.312 4.312 4.312 Å, 60.00 60.00 60.00°
Sites, in units of the cell vectors:
Lu 0.000 0.000 0.000
Sc 0.500 0.500 0.500

Summary:
Size of the total moment   0.72 μB/atom
SG   Fm-3m
Density   6441 kg/m³

---

The structure with the least stability is i.